DFT (PBE) results for an optimized crystal structure of Al2Fe8Si.

Structure (POSCAR):
```
Al2Fe8Si
1.0
5.930 -2.007 0.000
5.930 2.007 0.000
-2.942 0.000 5.399
Al Fe Si
2 8 1
direct
0.222 0.222 0.137
0.778 0.778 0.863
0.039 0.039 0.227
0.134 0.134 0.671
0.319 0.319 0.602
0.414 0.414 0.055
0.586 0.586 0.945
0.681 0.681 0.398
0.866 0.866 0.329
0.961 0.961 0.773
0.500 0.500 0.500
```

Values from the calculation:
Formation energy from raw total energies: -227.5 kJ/mol of formula units
DOS at the Fermi energy: 10.01 states/eV/f.u.

---

DFT (PBE) results for an optimized crystal structure of NbZn2RhCl.

Structure (POSCAR):
```
NbZn2RhCl
1.0
4.810 0.000 0.000
0.000 4.810 0.000
0.000 0.000 4.847
Nb Zn Rh Cl
1 2 1 1
direct
0.000 0.000 0.000
0.000 0.500 0.500
0.500 0.000 0.500
0.000 0.000 0.500
0.500 0.500 0.000
```

Values from the calculation:
Formation energy from raw total energies: 135.3 kJ/mol of formula units
DOS at the Fermi energy: 2.88 states/eV/f.u.

---

DFT (PBE) results for an optimized crystal structure of Ir2PbAu.

Structure (POSCAR):
```
Ir2PbAu
1.0
-2.162 2.162 3.749
2.162 -2.162 3.749
2.162 2.162 -3.749
Ir Pb Au
2 1 1
direct
0.250 0.750 0.500
0.750 0.250 0.500
0.000 0.000 0.000
0.500 0.500 0.000
```

Values from the calculation:
ΔE_f: 0.50 eV/atom
DOS at the Fermi energy: 4.20 states/eV/f.u.

---

DFT (PBE) results for an optimized crystal structure of SmTl2BiSe4.

Structure (POSCAR):
```
SmTl2BiSe4
1.0
7.451 0.000 0.000
0.000 4.291 0.000
-2.483 0.000 7.705
Sm Tl Bi Se
1 2 1 4
direct
0.000 0.000 0.000
0.000 0.500 0.500
0.500 0.000 0.500
0.500 0.500 0.000
0.234 0.500 0.210
0.259 0.000 0.787
0.741 0.000 0.213
0.766 0.500 0.790
```

Values from the calculation:
Formation energy from raw total energies: -706.3 kJ/mol of formula units

---

DFT (PBE) results for an optimized crystal structure of SrNb2Ag.

Structure (POSCAR):
```
SrNb2Ag
1.0
-2.185 2.185 11.040
2.185 -2.185 11.040
2.185 2.185 -11.040
Sr Nb Ag
2 4 2
direct
0.000 0.000 0.000
0.750 0.250 0.500
0.255 0.625 0.130
0.375 0.505 0.630
0.495 0.125 0.870
0.875 0.745 0.370
0.250 0.750 0.500
0.500 0.500 0.000
```

Values from the calculation:
ΔE_f: 0.87 eV/atom
DOS at the Fermi energy: 3.43 states/eV/f.u.

---

DFT (PBE) results for an optimized crystal structure of Ce3YO.

Structure (POSCAR):
```
Ce3YO
1.0
4.949 0.000 0.000
0.000 4.949 0.000
0.000 0.000 4.949
Ce Y O
3 1 1
direct
0.000 0.000 0.500
0.000 0.500 0.000
0.500 0.000 0.000
0.500 0.500 0.500
0.000 0.000 0.000
```

Values from the calculation:
Formation energy from raw total energies: -512.9 kJ/mol of formula units
DOS at the Fermi energy: 10.96 states/eV/f.u.

---

no.,size of the total moment (μB/f.u.),electronic total energy (eV/cell)
1,15.8,-82.97
2,1.5,-20.41
3,0.0,-22.72
4,0.0,-34.59
5,0.0,-42.35
6,0.0,-34.54